*i*
SrP2Rh | GGA-PBE | relaxed

The structure belongs to space group I-4m2 (No. 119); the cell edges are 4.0465, 4.0465 and 9.1744 Å and the angles 90.00°, 90.00° and 90.00°. The inequivalent atoms are Sr at (0.0000, 0.0000, 0.0000), P at (0.0000, 0.0000, 0.5000), P at (0.0000, 0.5000, 0.7500) and Rh at (0.0000, 0.5000, 0.2500).

The density comes out at 5582 kg/m3. The calculated volume comes out at 18.78 Å³/atom.

=====

*ii*
SrP2Rh | GGA-PBE | relaxed

The structure belongs to space group I-42d (No. 122); the cell edges are 7.1205, 7.1205 and 7.0620 Å and the angles 90.00°, 90.00° and 90.00°. The inequivalent atoms are Sr at (0.0000, 0.0000, 0.0000), P at (0.1532, 0.2500, 0.6250) and Rh at (0.0000, 0.0000, 0.5000).

The density comes out at 4684 kg/m3. The calculated volume comes out at 22.38 Å³/atom.

=====

*iii*
SrP2Rh | GGA-PBE | relaxed

The structure belongs to space group Fm-3m (No. 225); the cell edges are 6.6567, 6.6567 and 6.6567 Å and the angles 90.00°, 90.00° and 90.00°. The inequivalent atoms are Sr at (0.0000, 0.0000, 0.0000), P at (0.2500, 0.2500, 0.2500) and Rh at (0.0000, 0.0000, 0.5000).

The density comes out at 5685 kg/m3. The calculated volume comes out at 18.44 Å³/atom.

=====

*iv*
SrP2Rh | GGA-PBE | relaxed

The structure belongs to space group Cc (No. 9); the cell edges are 6.3364, 6.3467 and 9.0376 Å and the angles 90.00°, 100.09° and 90.00°. The inequivalent atoms are Sr at (0.0000, 0.0732, 0.0000), P at (0.0044, 0.4214, 0.5489), P at (0.2051, 0.2890, 0.7383) and Rh at (0.4735, 0.0504, 0.7941).

The density comes out at 4687 kg/m3. The calculated volume comes out at 22.36 Å³/atom.

=====

Most stable: *iv*

=====

*i*
SrP3Rh | GGA-PBE | relaxed

The structure belongs to space group Pm-3m (No. 221); the cell edges are 5.2431, 5.2431 and 5.2431 Å and the angles 90.00°, 90.00° and 90.00°. The inequivalent atoms are Sr at (0.0000, 0.0000, 0.0000), P at (0.0000, 0.0000, 0.5000) and Rh at (0.5000, 0.5000, 0.5000).

The density comes out at 3266 kg/m3. The calculated volume comes out at 28.83 Å³/atom.

=====

*ii*
SrP3Rh | GGA-PBE | relaxed

The structure belongs to space group Pm-3m (No. 221); the cell edges are 4.7424, 4.7424 and 4.7424 Å and the angles 90.00°, 90.00° and 90.00°. The inequivalent atoms are Sr at (0.0000, 0.0000, 0.0000), P at (0.0000, 0.5000, 0.5000) and Rh at (0.5000, 0.5000, 0.5000).

The density comes out at 4413 kg/m3. The calculated volume comes out at 21.33 Å³/atom.

=====

Most stable: *ii*

=====

*i*
Sr2P2Rh | GGA-PBE | relaxed

The structure belongs to space group C2/m (No. 12); the cell edges are 11.4580, 4.0388 and 10.8549 Å and the angles 90.00°, 109.41° and 90.00°. The inequivalent atoms are Sr at (0.0913, 0.0000, 0.4050), Sr at (0.2019, 0.5000, 0.1416), P at (0.0320, 0.0000, 0.9110), P at (0.1484, 0.5000, 0.6484) and Rh at (0.0669, 0.5000, 0.8227).

The density comes out at 4768 kg/m3. The calculated volume comes out at 23.69 Å³/atom.

=====

*ii*
Sr2P2Rh | GGA-PBE | relaxed

The structure belongs to space group P4/mbm (No. 127); the cell edges are 6.6893, 6.6893 and 4.6824 Å and the angles 90.00°, 90.00° and 90.00°. The inequivalent atoms are Sr at (0.1759, 0.3241, 0.0000), P at (0.1303, 0.6303, 0.5000) and Rh at (0.0000, 0.0000, 0.5000).

The density comes out at 5391 kg/m3. The calculated volume comes out at 20.95 Å³/atom.

=====

Most stable: *i*

=====

*i*
Ta3PRh | GGA-PBE | relaxed

The structure belongs to space group Pm-3m (No. 221); the cell edges are 4.5343, 4.5343 and 4.5343 Å and the angles 90.00°, 90.00° and 90.00°. The inequivalent atoms are Ta at (0.0000, 0.0000, 0.5000), P at (0.0000, 0.0000, 0.0000) and Rh at (0.5000, 0.5000, 0.5000).

The density comes out at 12054 kg/m3. The calculated volume comes out at 18.64 Å³/atom.

=====

*ii*
Ta3PRh | GGA-PBE | relaxed

The structure belongs to space group Pm-3m (No. 221); the cell edges are 4.7896, 4.7896 and 4.7896 Å and the angles 90.00°, 90.00° and 90.00°. The inequivalent atoms are Ta at (0.0000, 0.0000, 0.5000), P at (0.5000, 0.5000, 0.5000) and Rh at (0.0000, 0.0000, 0.0000).

The density comes out at 10227 kg/m3. The calculated volume comes out at 21.98 Å³/atom.

=====

Most stable: *i*